# 1
First-principles (PBE) data for crystalline PmNpBi2 at its relaxed geometry, as listed in the Alexandria database.

Output
space group: No. 225
offset from the most stable computed form: 0.29 eV/f.u.
energy of formation from the pure elements: -0.240 eV/atom

```
data_PmNpBi2
_chemical_formula_sum 'Pm4 Np4 Bi8'
_cell_length_a 7.820
_cell_length_b 7.820
_cell_length_c 7.820
_cell_angle_alpha 90.00
_cell_angle_beta 90.00
_cell_angle_gamma 90.00
_space_group_name_H-M_alt 'P 1'
_space_group_IT_number 1
loop_
_space_group_symop_operation_xyz
'x,y,z'
loop_
_atom_site_label
_atom_site_fract_x
_atom_site_fract_y
_atom_site_fract_z
_atom_site_occupancy
Pm1 0.000 0.000 0.000 1
Pm2 0.000 0.500 0.500 1
Pm3 0.500 0.000 0.500 1
Pm4 0.500 0.500 0.000 1
Np1 0.000 0.000 0.500 1
Np2 0.000 0.500 0.000 1
Np3 0.500 0.000 0.000 1
Np4 0.500 0.500 0.500 1
Bi1 0.250 0.250 0.250 1
Bi2 0.250 0.250 0.750 1
Bi3 0.250 0.750 0.250 1
Bi4 0.250 0.750 0.750 1
Bi5 0.750 0.250 0.250 1
Bi6 0.750 0.250 0.750 1
Bi7 0.750 0.750 0.250 1
Bi8 0.750 0.750 0.750 1
```

# 2
First-principles (PBE) data for crystalline PmNpBi2 at its relaxed geometry, as listed in the Alexandria database.

Output
space group: No. 123
offset from the most stable computed form: 0.14 eV/f.u.
energy of formation from the pure elements: -0.275 eV/atom

```
data_PmNpBi2
_chemical_formula_sum 'Pm1 Np1 Bi2'
_cell_length_a 3.741
_cell_length_b 3.741
_cell_length_c 8.424
_cell_angle_alpha 90.00
_cell_angle_beta 90.00
_cell_angle_gamma 90.00
_space_group_name_H-M_alt 'P 1'
_space_group_IT_number 1
loop_
_space_group_symop_operation_xyz
'x,y,z'
loop_
_atom_site_label
_atom_site_fract_x
_atom_site_fract_y
_atom_site_fract_z
_atom_site_occupancy
Pm1 0.000 0.000 0.000 1
Np1 0.000 0.000 0.500 1
Bi1 0.500 0.500 0.253 1
Bi2 0.500 0.500 0.747 1
```

# 3
First-principles (PBE) data for crystalline Pm2NpBi3 at its relaxed geometry, as listed in the Alexandria database.

Output
space group: No. 70
energy of formation from the pure elements: -0.584 eV/atom

```
data_Pm2NpBi3
_chemical_formula_sum 'Pm8 Np4 Bi12'
_cell_length_a 15.110
_cell_length_b 14.409
_cell_length_c 7.896
_cell_angle_alpha 79.46
_cell_angle_beta 69.63
_cell_angle_gamma 30.91
_space_group_name_H-M_alt 'P 1'
_space_group_IT_number 1
loop_
_space_group_symop_operation_xyz
'x,y,z'
loop_
_atom_site_label
_atom_site_fract_x
_atom_site_fract_y
_atom_site_fract_z
_atom_site_occupancy
Pm1 0.042 0.042 0.208 1
Pm2 0.124 0.124 0.626 1
Pm3 0.208 0.208 0.042 1
Pm4 0.374 0.374 0.876 1
Pm5 0.626 0.626 0.124 1
Pm6 0.792 0.792 0.958 1
Pm7 0.876 0.876 0.374 1
Pm8 0.958 0.958 0.792 1
Np1 0.291 0.291 0.459 1
Np2 0.459 0.459 0.291 1
Np3 0.541 0.541 0.709 1
Np4 0.709 0.709 0.541 1
Bi1 0.041 0.541 0.213 1
Bi2 0.129 0.621 0.621 1
Bi3 0.213 0.705 0.041 1
Bi4 0.295 0.787 0.459 1
Bi5 0.379 0.871 0.871 1
Bi6 0.459 0.959 0.295 1
Bi7 0.541 0.041 0.705 1
Bi8 0.621 0.129 0.129 1
Bi9 0.705 0.213 0.541 1
Bi10 0.787 0.295 0.959 1
Bi11 0.871 0.379 0.379 1
Bi12 0.959 0.459 0.787 1
```

# 4
First-principles (PBE) data for crystalline PmNpBi2 at its relaxed geometry, as listed in the Alexandria database.

Output
space group: No. 166
offset from the most stable computed form: 1.65 eV/f.u.
energy of formation from the pure elements: 0.101 eV/atom

```
data_PmNpBi2
_chemical_formula_sum 'Pm3 Np3 Bi6'
_cell_length_a 3.440
_cell_length_b 3.440
_cell_length_c 36.408
_cell_angle_alpha 90.00
_cell_angle_beta 90.00
_cell_angle_gamma 120.00
_space_group_name_H-M_alt 'P 1'
_space_group_IT_number 1
loop_
_space_group_symop_operation_xyz
'x,y,z'
loop_
_atom_site_label
_atom_site_fract_x
_atom_site_fract_y
_atom_site_fract_z
_atom_site_occupancy
Pm1 0.000 0.000 0.000 1
Pm2 0.333 0.667 0.667 1
Pm3 0.667 0.333 0.333 1
Np1 0.000 0.000 0.500 1
Np2 0.333 0.667 0.167 1
Np3 0.667 0.333 0.833 1
Bi1 0.000 0.000 0.410 1
Bi2 0.000 0.000 0.590 1
Bi3 0.333 0.667 0.077 1
Bi4 0.333 0.667 0.256 1
Bi5 0.667 0.333 0.744 1
Bi6 0.667 0.333 0.923 1
```

# 5
First-principles (PBE) data for crystalline PmNpBiSb at its relaxed geometry, as listed in the Alexandria database.

Output
space group: No. 216
energy relative to the elements, uncorrected: -0.35 eV/atom

```
data_PmNpBiSb
_chemical_formula_sum 'Pm4 Np4 Bi4 Sb4'
_cell_length_a 7.721
_cell_length_b 7.721
_cell_length_c 7.721
_cell_angle_alpha 90.00
_cell_angle_beta 90.00
_cell_angle_gamma 90.00
_space_group_name_H-M_alt 'P 1'
_space_group_IT_number 1
loop_
_space_group_symop_operation_xyz
'x,y,z'
loop_
_atom_site_label
_atom_site_fract_x
_atom_site_fract_y
_atom_site_fract_z
_atom_site_occupancy
Pm1 0.000 0.000 0.000 1
Pm2 0.000 0.500 0.500 1
Pm3 0.500 0.000 0.500 1
Pm4 0.500 0.500 0.000 1
Np1 0.000 0.000 0.500 1
Np2 0.000 0.500 0.000 1
Np3 0.500 0.000 0.000 1
Np4 0.500 0.500 0.500 1
Bi1 0.250 0.250 0.250 1
Bi2 0.250 0.750 0.750 1
Bi3 0.750 0.250 0.750 1
Bi4 0.750 0.750 0.250 1
Sb1 0.250 0.250 0.750 1
Sb2 0.250 0.750 0.250 1
Sb3 0.750 0.250 0.250 1
Sb4 0.750 0.750 0.750 1
```

# 6
First-principles (PBE) data for crystalline PmNpSnBi at its relaxed geometry, as listed in the Alexandria database.

Output
space group: No. 216
energy of formation from the pure elements: -0.183 eV/atom

```
data_PmNpSnBi
_chemical_formula_sum 'Pm4 Np4 Sn4 Bi4'
_cell_length_a 7.723
_cell_length_b 7.723
_cell_length_c 7.723
_cell_angle_alpha 90.00
_cell_angle_beta 90.00
_cell_angle_gamma 90.00
_space_group_name_H-M_alt 'P 1'
_space_group_IT_number 1
loop_
_space_group_symop_operation_xyz
'x,y,z'
loop_
_atom_site_label
_atom_site_fract_x
_atom_site_fract_y
_atom_site_fract_z
_atom_site_occupancy
Pm1 0.000 0.000 0.000 1
Pm2 0.000 0.500 0.500 1
Pm3 0.500 0.000 0.500 1
Pm4 0.500 0.500 0.000 1
Np1 0.000 0.000 0.500 1
Np2 0.000 0.500 0.000 1
Np3 0.500 0.000 0.000 1
Np4 0.500 0.500 0.500 1
Sn1 0.250 0.250 0.750 1
Sn2 0.250 0.750 0.250 1
Sn3 0.750 0.250 0.250 1
Sn4 0.750 0.750 0.750 1
Bi1 0.250 0.250 0.250 1
Bi2 0.250 0.750 0.750 1
Bi3 0.750 0.250 0.750 1
Bi4 0.750 0.750 0.250 1
```

no.,magnetic moment (μB per atom),calculated total energy (eV/atom)
1,1.178,-6.603
2,1.195,-6.639
3,0.662,-6.264
4,1.210,-6.262
5,1.144,-6.771
6,1.117,-6.577